DFT (GGA-PBE) results for crystalline CaHoCdCu at its relaxed geometry.

a b c (Å): 5.1497 5.1497 5.1497
angles (deg): 60.00 60.00 60.00
Last column: nearest neighbours and their distance in Å.
Atoms (fractional coordinates):
Ca  0.0000  0.0000  0.0000  4 Cu 3.15, 4 Cd 3.15
Ho  0.5000  0.5000  0.5000  4 Cd 3.15, 4 Cu 3.15
Cd  0.7500  0.7500  0.7500  4 Ho 3.15, 4 Ca 3.15
Cu  0.2500  0.2500  0.2500  4 Ho 3.15, 4 Ca 3.15

Computed properties:
As for the density of states at the Fermi level: 2.826 states/eV per cell. The calculated volume is 96.6 Å³/f.u. The formation energy comes out at -0.18 eV per atom. Its size of the total moment is 0.0 μB per cell.